# Hf2BeSe GGA-PBE optimized geometry
data_Hf2BeSe
_symmetry_space_group_name_H-M 'P 1'
_symmetry_Int_Tables_number 1
_cell_length_a 7.212
_cell_length_b 7.212
_cell_length_c 7.212
_cell_angle_alpha 134.07
_cell_angle_beta 134.07
_cell_angle_gamma 66.98
loop_
_symmetry_equiv_pos_as_xyz
'x,y,z'
loop_
_atom_site_label
_atom_site_type_symbol
_atom_site_fract_x
_atom_site_fract_y
_atom_site_fract_z
Hf1 Hf 0.079 0.625 0.954
Hf2 Hf 0.375 0.329 0.454
Hf3 Hf 0.671 0.125 0.046
Hf4 Hf 0.875 0.921 0.546
Be1 Be 0.000 0.000 0.000
Be2 Be 0.750 0.250 0.500
Se1 Se 0.250 0.750 0.500
Se2 Se 0.500 0.500 0.000
# space-group type	I-42d (122)
# total DFT energy (no corrections)	-51.8	eV per cell
# energy above the most stable polymorph in this dataset	835	meV per atom